No. 1
Below is a geometry-optimized ThCoPb structure, with properties calculated at the PBE level.

Structure (CIF):
```
data_ThCoPb
_chemical_formula_sum 'Th4 Co4 Pb4'
_symmetry_space_group_name_H-M 'A m m 2'
_symmetry_Int_Tables_number 38
_cell_length_a 5.170
_cell_length_b 7.558
_cell_length_c 7.558
_cell_angle_alpha 90.00
_cell_angle_beta 90.00
_cell_angle_gamma 90.00
loop_
_symmetry_equiv_pos_as_xyz
'x,y,z'
'-x,-y,z'
'-x,y,z'
'x,-y,z'
'x,y+1/2,z+1/2'
'-x,-y+1/2,z+1/2'
'-x,y+1/2,z+1/2'
'x,-y+1/2,z+1/2'
loop_
_atom_site_label
_atom_site_type_symbol
_atom_site_fract_x
_atom_site_fract_y
_atom_site_fract_z
Th1 Th 0.000 0.250 0.000
Co1 Co 0.000 0.000 0.249
Co2 Co 0.000 0.000 0.750
Pb1 Pb 0.500 0.000 0.252
Pb2 Pb 0.500 0.000 0.751
```

Energy of formation   -76.6 kJ/mol of formula units
Spin magnetization   0.00 μB/atom
Density of states at the Fermi level   2.6 states/eV/f.u.

=====

No. 2
Below is a geometry-optimized K12Tl3F5 structure, with properties calculated at the PBE level.

Structure (CIF):
```
data_K12Tl3F5
_chemical_formula_sum 'K96 Tl24 F40'
_symmetry_space_group_name_H-M 'I a -3 d'
_symmetry_Int_Tables_number 230
_symmetry_space_group_name_Hall '-I 4bd 2c 3'
_cell_length_a 18.102
_cell_length_b 18.102
_cell_length_c 18.102
_cell_angle_alpha 90.00
_cell_angle_beta 90.00
_cell_angle_gamma 90.00
loop_
_atom_site_label
_atom_site_type_symbol
_atom_site_fract_x
_atom_site_fract_y
_atom_site_fract_z
K1 K 0.038 0.044 0.646
Tl1 Tl 0.000 0.250 0.125
F1 F 0.000 0.000 0.000
F2 F 0.000 0.250 0.375
```

Spin magnetization   0.00 μB/atom
Density of states at the Fermi level   12.6 states/eV/f.u.

=====

No. 3
Below is a geometry-optimized ThMgZnAg structure, with properties calculated at the PBE level.

Structure (CIF):
```
data_ThMgZnAg
_chemical_formula_sum 'Th4 Mg4 Zn4 Ag4'
_symmetry_space_group_name_H-M 'F -4 3 m'
_symmetry_Int_Tables_number 216
_symmetry_space_group_name_Hall 'F -4 2 3'
_cell_length_a 7.098
_cell_length_b 7.098
_cell_length_c 7.098
_cell_angle_alpha 90.00
_cell_angle_beta 90.00
_cell_angle_gamma 90.00
loop_
_atom_site_label
_atom_site_type_symbol
_atom_site_fract_x
_atom_site_fract_y
_atom_site_fract_z
Th1 Th 0.000 0.000 0.000
Mg1 Mg 0.000 0.000 0.500
Zn1 Zn 0.250 0.250 0.250
Ag1 Ag 0.250 0.250 0.750
```

Energy of formation   -75.2 kJ/mol of formula units
Spin magnetization   0.00 μB/atom
Density of states at the Fermi level   2.0 states/eV/f.u.

=====

No. 4
Below is a geometry-optimized Zn3InTe structure, with properties calculated at the PBE level.

Structure (CIF):
```
data_Zn3InTe
_chemical_formula_sum 'Zn3 In1 Te1'
_symmetry_space_group_name_H-M 'P m -3 m'
_symmetry_Int_Tables_number 221
_symmetry_space_group_name_Hall '-P 4 2 3'
_cell_length_a 5.350
_cell_length_b 5.350
_cell_length_c 5.350
_cell_angle_alpha 90.00
_cell_angle_beta 90.00
_cell_angle_gamma 90.00
loop_
_atom_site_label
_atom_site_type_symbol
_atom_site_fract_x
_atom_site_fract_y
_atom_site_fract_z
Zn1 Zn 0.000 0.000 0.500
In1 In 0.500 0.500 0.500
Te1 Te 0.000 0.000 0.000
```

Spin magnetization   0.00 μB/atom
Density of states at the Fermi level   3.2 states/eV/f.u.

=====

No. 5
Below is a geometry-optimized Dy2V2C3 structure, with properties calculated at the PBE level.

Structure (CIF):
```
data_Dy2V2C3
_chemical_formula_sum 'Dy4 V4 C6'
_symmetry_space_group_name_H-M 'C 1 2/m 1'
_symmetry_Int_Tables_number 12
_cell_length_a 11.539
_cell_length_b 3.321
_cell_length_c 5.620
_cell_angle_alpha 90.00
_cell_angle_beta 112.76
_cell_angle_gamma 90.00
loop_
_symmetry_equiv_pos_as_xyz
'x,y,z'
'-x,-y,-z'
'-x,y,-z'
'x,-y,z'
'x+1/2,y+1/2,z'
'-x+1/2,-y+1/2,-z'
'-x+1/2,y+1/2,-z'
'x+1/2,-y+1/2,z'
loop_
_atom_site_label
_atom_site_type_symbol
_atom_site_fract_x
_atom_site_fract_y
_atom_site_fract_z
Dy1 Dy 0.106 0.000 0.325
V1 V 0.159 0.500 0.826
C1 C 0.000 0.500 0.500
C2 C 0.250 0.000 0.780
```

Energy of formation   -273.9 kJ/mol of formula units
Spin magnetization   0.00 μB/atom
Density of states at the Fermi level   5.5 states/eV/f.u.

=====

No. 6
Below is a geometry-optimized MgTi3O6 structure, with properties calculated at the PBE level.

Structure (CIF):
```
data_MgTi3O6
_chemical_formula_sum 'Mg2 Ti6 O12'
_symmetry_space_group_name_H-M 'P 1 21/m 1'
_symmetry_Int_Tables_number 11
_cell_length_a 8.453
_cell_length_b 2.939
_cell_length_c 8.562
_cell_angle_alpha 90.00
_cell_angle_beta 108.86
_cell_angle_gamma 90.00
loop_
_symmetry_equiv_pos_as_xyz
'x,y,z'
'-x,-y,-z'
'-x,y+1/2,-z'
'x,-y+1/2,z'
loop_
_atom_site_label
_atom_site_type_symbol
_atom_site_fract_x
_atom_site_fract_y
_atom_site_fract_z
Mg1 Mg 0.056 0.250 0.178
Ti1 Ti 0.166 0.250 0.580
Ti2 Ti 0.306 0.750 0.983
Ti3 Ti 0.436 0.250 0.327
O1 O 0.072 0.750 0.407
O2 O 0.123 0.250 0.955
O3 O 0.213 0.750 0.739
O4 O 0.267 0.750 0.229
O5 O 0.395 0.250 0.559
O6 O 0.466 0.250 0.109
```

Spin magnetization   0.19 μB/atom
Density of states at the Fermi level   3.8 states/eV/f.u.

=====

No. 7
Below is a geometry-optimized Ce4ZnCo structure, with properties calculated at the PBE level.

Structure (CIF):
```
data_Ce4ZnCo
_chemical_formula_sum 'Ce16 Zn4 Co4'
_symmetry_space_group_name_H-M 'C 1 2/c 1'
_symmetry_Int_Tables_number 15
_cell_length_a 8.816
_cell_length_b 11.690
_cell_length_c 5.497
_cell_angle_alpha 90.00
_cell_angle_beta 108.64
_cell_angle_gamma 90.00
loop_
_symmetry_equiv_pos_as_xyz
'x,y,z'
'-x,-y,-z'
'-x,y,-z+1/2'
'x,-y,z+1/2'
'x+1/2,y+1/2,z'
'-x+1/2,-y+1/2,-z'
'-x+1/2,y+1/2,-z+1/2'
'x+1/2,-y+1/2,z+1/2'
loop_
_atom_site_label
_atom_site_type_symbol
_atom_site_fract_x
_atom_site_fract_y
_atom_site_fract_z
Ce1 Ce 0.132 0.178 0.078
Ce2 Ce 0.216 0.389 0.386
Zn1 Zn 0.000 0.395 0.750
Co1 Co 0.000 0.005 0.750
```

Energy of formation   -68.3 kJ/mol of formula units
Spin magnetization   0.00 μB/atom
Density of states at the Fermi level   13.0 states/eV/f.u.

=====

No. 8
Below is a geometry-optimized Dy9Tm11Sc4 structure, with properties calculated at the PBE level.

Structure (CIF):
```
data_Dy9Tm11Sc4
_chemical_formula_sum 'Dy18 Tm22 Sc8'
_symmetry_space_group_name_H-M 'C m m m'
_symmetry_Int_Tables_number 65
_symmetry_space_group_name_Hall '-C 2 2'
_cell_length_a 16.314
_cell_length_b 24.634
_cell_length_c 3.576
_cell_angle_alpha 90.00
_cell_angle_beta 90.00
_cell_angle_gamma 90.00
loop_
_atom_site_label
_atom_site_type_symbol
_atom_site_fract_x
_atom_site_fract_y
_atom_site_fract_z
Dy1 Dy 0.000 0.000 0.000
Dy2 Dy 0.103 0.232 0.000
Dy3 Dy 0.145 0.428 0.000
Tm1 Tm 0.000 0.130 0.500
Tm2 Tm 0.000 0.341 0.500
Tm3 Tm 0.000 0.500 0.500
Tm4 Tm 0.203 0.000 0.500
Tm5 Tm 0.227 0.320 0.500
Sc1 Sc 0.155 0.101 0.000
```

Energy of formation   96.3 kJ/mol of formula units
Spin magnetization   0.00 μB/atom
Density of states at the Fermi level   31.4 states/eV/f.u.

=====

| no. | total energy (eV/atom) |
| --- | --- |
| 1 | -6.343 |
| 2 | -2.733 |
| 3 | -3.480 |
| 4 | -1.428 |
| 5 | -8.279 |
| 6 | -8.319 |
| 7 | -5.471 |
| 8 | -4.789 |